[1]
{
  "formula": "CsBa2BiS4",
  "functional": "PBE-GGA",
  "state": "relaxed",
  "raw_formation_energy_mev_per_atom": -1258,
  "sg": "Imma (74)",
  "lattice": [[-4.480, 4.554, 6.379], [4.480, -4.554, 6.379], [4.480, 4.554, -6.379]],
  "species": ["Cs", "Cs", "Ba", "Ba", "Ba", "Ba", "Bi", "Bi", "S", "S", "S", "S", "S", "S", "S", "S"],
  "fractional_positions": [[0.500, 0.000, 0.000], [0.500, 0.500, 0.500], [0.000, 0.000, 0.000], [0.000, 0.000, 0.500], [0.000, 0.500, 0.000], [0.500, 0.000, 0.500], [0.000, 0.500, 0.500], [0.500, 0.500, 0.000], [0.207, 0.726, 0.482], [0.244, 0.260, 0.517], [0.244, 0.727, 0.983], [0.256, 0.274, 0.982], [0.744, 0.726, 0.018], [0.756, 0.273, 0.017], [0.756, 0.740, 0.483], [0.793, 0.274, 0.518]]
}



[2]
{
  "formula": "Cs3BaBi2Se6",
  "functional": "PBE-GGA",
  "state": "relaxed",
  "raw_formation_energy_mev_per_atom": -954,
  "sg": "C2/m (12)",
  "lattice": [[3.901, -6.756, 0.000], [3.901, 6.756, 0.000], [-2.633, 0.000, 8.462]],
  "species": ["Cs", "Cs", "Cs", "Ba", "Bi", "Bi", "Se", "Se", "Se", "Se", "Se", "Se"],
  "fractional_positions": [[0.000, 0.000, 0.000], [0.341, 0.659, 0.000], [0.659, 0.341, 0.000], [0.500, 0.500, 0.500], [0.167, 0.833, 0.500], [0.833, 0.167, 0.500], [0.070, 0.434, 0.304], [0.201, 0.201, 0.693], [0.434, 0.070, 0.304], [0.566, 0.930, 0.696], [0.799, 0.799, 0.307], [0.930, 0.566, 0.696]]
}



[3]
{
  "formula": "CsBa2BiSe",
  "functional": "PBE-GGA",
  "state": "relaxed",
  "raw_formation_energy_mev_per_atom": 487,
  "polymorph_energy_ev_per_atom": 0.963,
  "sg": "P4/mmm (123)",
  "lattice": [[6.689, 0.000, 0.000], [0.000, 6.689, 0.000], [0.000, 0.000, 5.942]],
  "species": ["Cs", "Ba", "Ba", "Bi", "Se"],
  "fractional_positions": [[0.000, 0.000, 0.000], [0.000, 0.500, 0.000], [0.500, 0.000, 0.000], [0.000, 0.000, 0.500], [0.500, 0.500, 0.500]]
}



[4]
{
  "formula": "CsBa2BiSe",
  "functional": "PBE-GGA",
  "state": "relaxed",
  "raw_formation_energy_mev_per_atom": -476,
  "polymorph_energy_ev_per_atom": 0.000,
  "sg": "P4/mmm (123)",
  "lattice": [[6.665, 0.000, 0.000], [0.000, 6.665, 0.000], [0.000, 0.000, 6.989]],
  "species": ["Cs", "Ba", "Ba", "Bi", "Se"],
  "fractional_positions": [[0.000, 0.000, 0.000], [0.000, 0.500, 0.500], [0.500, 0.000, 0.500], [0.000, 0.000, 0.500], [0.500, 0.500, 0.000]]
}



[5]
{
  "formula": "CsBa2BiSe4",
  "functional": "PBE-GGA",
  "state": "relaxed",
  "raw_formation_energy_mev_per_atom": -1257,
  "sg": "Imma (74)",
  "lattice": [[-4.655, 4.717, 6.593], [4.655, -4.717, 6.593], [4.655, 4.717, -6.593]],
  "species": ["Cs", "Cs", "Ba", "Ba", "Ba", "Ba", "Bi", "Bi", "Se", "Se", "Se", "Se", "Se", "Se", "Se", "Se"],
  "fractional_positions": [[0.500, 0.000, 0.000], [0.500, 0.500, 0.500], [0.000, 0.000, 0.000], [0.000, 0.000, 0.500], [0.000, 0.500, 0.000], [0.500, 0.000, 0.500], [0.000, 0.500, 0.500], [0.500, 0.500, 0.000], [0.213, 0.730, 0.483], [0.244, 0.264, 0.520], [0.244, 0.724, 0.980], [0.253, 0.270, 0.983], [0.747, 0.730, 0.017], [0.756, 0.276, 0.020], [0.756, 0.736, 0.480], [0.787, 0.270, 0.517]]
}



[6]
{
  "formula": "Cs2BaSnBi2",
  "functional": "PBE-GGA",
  "state": "relaxed",
  "ef_ev_per_fu": -3.050,
  "sg": "Pmc2_1 (26)",
  "lattice": [[4.948, 0.000, 0.000], [0.000, 10.815, 0.000], [0.000, 0.000, 10.336]],
  "species": ["Cs", "Cs", "Cs", "Cs", "Ba", "Ba", "Sn", "Sn", "Bi", "Bi", "Bi", "Bi"],
  "fractional_positions": [[0.000, 0.089, 0.000], [0.000, 0.911, 0.500], [0.500, 0.196, 0.322], [0.500, 0.804, 0.822], [0.500, 0.441, 0.879], [0.500, 0.559, 0.379], [0.000, 0.292, 0.588], [0.000, 0.708, 0.088], [0.000, 0.438, 0.157], [0.000, 0.562, 0.657], [0.500, 0.158, 0.716], [0.500, 0.842, 0.216]]
}



no.,VASP energy (eV/atom)
1,-4.394
2,-3.717
3,-1.926
4,-2.889
5,-4.072
6,-3.074